[1]
DFT (PBE) results for an optimized crystal structure of Rh2Pb.

Cell lengths 4.4759, 4.4759, 3.0423 Å; angles 90.00, 90.00, 120.00 degrees
Last column: magnetic moment on the atom in μB.
Sites, in units of the cell vectors:
1 Rh 0.6667 0.3333 0.7005  0.19
2 Rh 0.3333 0.6667 0.2995  0.19
3 Pb 0.0000 0.0000 0.0000  -0.01

Properties
Calculated formation energy = 0.221 eV per atom
DOS(E_F) = 2.04 states/eV/atom
E = -5.92 eV/atom

=====

[2]
DFT (PBE) results for an optimized crystal structure of RhPb.

Cell lengths 4.5185, 5.7379, 10.5168 Å; angles 90.00, 90.00, 90.00 degrees
Sites, in units of the cell vectors:
1 Rh 0.0000 0.1363 0.7624
2 Rh 0.5000 0.8637 0.7376
3 Rh 0.5000 0.8637 0.2624
4 Rh 0.0000 0.1363 0.2376
5 Rh 0.0000 0.2972 0.0000
6 Rh 0.5000 0.7028 0.5000
7 Pb 0.0000 0.6460 0.8304
8 Pb 0.5000 0.3540 0.6696
9 Pb 0.5000 0.3540 0.3304
10 Pb 0.0000 0.6460 0.1696
11 Pb 0.0000 0.9641 0.5000
12 Pb 0.5000 0.0359 0.0000

Properties
Calculated formation energy = 0.120 eV per atom
DOS(E_F) = 0.76 states/eV/atom
E = -5.41 eV/atom